A relaxed Li3VCrP2H2O10 crystal. Source: Alexandria, functional PBE+U.

Cell lengths 5.289, 5.605, 8.061 Å; angles 96.15, 104.55, 95.56 degrees
Sites, in units of the cell vectors:
Li  0.000  0.000  0.000
Li  0.248  0.927  0.368
Li  0.632  0.352  0.957
V  0.782  0.714  0.558
Cr  0.269  0.453  0.214
P  0.101  0.245  0.757
P  0.767  0.192  0.315
H  0.779  0.767  0.198
H  0.983  0.579  0.885
O  0.071  0.716  0.101
O  0.258  0.283  0.957
O  0.433  0.667  0.445
O  0.466  0.165  0.292
O  0.779  0.683  0.081
O  0.843  0.202  0.142
O  0.877  0.960  0.387
O  0.889  0.476  0.772
O  0.894  0.007  0.746
O  0.898  0.429  0.434

Output
energy relative to the lowest polymorph listed for this composition = 0 meV/atom
density = 2.53 g/cm³
final energy = -119.77 eV for the cell shown